No. 1
Material: LiCoBi
Method: DFT, PBE-GGA
State: optimized geometry

abc: 4.097 4.097 6.438
angles: 90.00 90.00 90.00
Sites, in units of the cell vectors:
Co 0.500 0.500 0.500
Co 0.000 0.000 0.500
Li 0.000 0.500 0.772
Li 0.500 0.000 0.228
Bi 0.000 0.500 0.242
Bi 0.500 0.000 0.758

Calculated values
For the energy, the calculation gives -0.1609 Ha/atom. Its space-group type is P4/nmm (129). As for the total magnetic moment: 0.0 μB/cell. The calculated density is 8.45 g cm⁻³. The energy of formation from the pure elements is -0.24 eV/f.u.

---

No. 2
Material: Li3CoBi
Method: DFT, PBE-GGA
State: optimized geometry

abc: 4.604 4.604 4.604
angles: 90.00 90.00 90.00
Sites, in units of the cell vectors:
Li 0.000 0.000 0.500
Li 0.000 0.500 0.000
Li 0.500 0.000 0.000
Bi 0.500 0.500 0.500
Co 0.000 0.000 0.000

Calculated values
For the energy, the calculation gives -0.1098 Ha/atom. Its space-group type is Pm-3m (221). As for the energy above the most stable polymorph in this dataset: 0.0 meV per atom. As for the total magnetic moment: 1.7 μB/cell. The calculated density is 4.91 g cm⁻³. The energy of formation from the pure elements is 1.79 eV/f.u.

---

No. 3
Material: LiCoBi3
Method: DFT, PBE-GGA
State: optimized geometry

abc: 5.039 5.039 5.039
angles: 90.00 90.00 90.00
Sites, in units of the cell vectors:
Bi 0.000 0.500 0.000
Bi 0.000 0.000 0.500
Bi 0.500 0.000 0.000
Li 0.000 0.000 0.000
Co 0.500 0.500 0.500

Calculated values
For the energy, the calculation gives -0.1223 Ha/atom. Its space-group type is Pm-3m (221). As for the energy above the most stable polymorph in this dataset: 575.0 meV per atom. As for the total magnetic moment: 0.0 μB/cell. The calculated density is 8.99 g cm⁻³. The energy of formation from the pure elements is 4.02 eV/f.u.

---

No. 4
Material: LiMn2CoBi
Method: DFT, PBE-GGA
State: optimized geometry

abc: 4.702 4.895 4.702
angles: 90.00 90.00 90.00
Sites, in units of the cell vectors:
Li 0.500 0.500 0.500
Co 0.000 0.000 0.000
Bi 0.000 0.500 0.000
Mn 0.000 0.000 0.500
Mn 0.500 0.000 0.000

Calculated values
For the energy, the calculation gives -0.2100 Ha/atom. Its space-group type is P4/mmm (123). As for the total magnetic moment: 9.3 μB/cell. The calculated density is 5.90 g cm⁻³. The energy of formation from the pure elements is 2.67 eV/f.u.